# 1
{
  "formula": "Dy4Tl3Ni",
  "functional": "PBE-GGA",
  "state": "relaxed",
  "cell": [[-1.2206, -3.3088, 0.4532], [3.2819, -1.2778, -0.4900], [2.7904, 1.1278, 15.7496]],
  "species": ["Ni", "Tl", "Tl", "Tl", "Dy", "Dy", "Dy", "Dy"],
  "fractional_positions": [[0.5000, 0.5000, 0.0000], [0.5000, 0.5000, 0.2352], [0.5000, 0.5000, 0.5000], [0.5000, 0.5000, 0.7648], [0.0000, 0.0000, 0.9002], [0.0000, 0.0000, 0.0998], [0.0000, 0.0000, 0.3666], [0.0000, 0.0000, 0.6334]],
  "dos_at_fermi_per_ev_atom": 0.8462,
  "e_tot_ha_per_atom": -0.157,
  "vol_a3_per_atom": 25.3,
  "crystal_system": "tetragonal",
  "ef_ev_per_atom": -0.35
}

# 2
{
  "formula": "CsZr3Mo",
  "functional": "PBE-GGA",
  "state": "relaxed",
  "cell": [[-2.0404, 1.7267, 4.5622], [3.8972, -2.3973, 2.6502], [2.9338, 4.3852, -0.3476]],
  "species": ["Cs", "Mo", "Zr", "Zr", "Zr"],
  "fractional_positions": [[0.5000, 0.5000, 0.5000], [0.0000, 0.0000, 0.0000], [0.0000, 0.5000, 0.0000], [0.0000, 0.0000, 0.5000], [0.5000, 0.0000, 0.0000]],
  "dos_at_fermi_per_ev_atom": 1.9077,
  "e_tot_ha_per_atom": -0.239,
  "relative_energy_ev_per_atom": 0.000,
  "vol_a3_per_atom": 29.6,
  "crystal_system": "cubic",
  "ef_ev_per_atom": 0.95
}